{"formula": "NaNiP3O9", "functional": "GGA+U", "state": "optimized geometry", "lattice_angstrom": [[-6.345, 7.763, 0.021], [-7.622, -6.219, -4.242], [-4.267, -3.522, 12.828]], "species": ["O", "O", "O", "O", "O", "O", "O", "O", "O", "O", "O", "O", "O", "O", "O", "O", "O", "O", "O", "O", "O", "O", "O", "O", "O", "O", "O", "O", "O", "O", "O", "O", "O", "O", "O", "O", "O", "O", "O", "O", "O", "O", "O", "O", "O", "O", "O", "O", "O", "O", "O", "O", "O", "O", "O", "O", "O", "O", "O", "O", "O", "O", "O", "O", "O", "O", "O", "O", "O", "O", "O", "O", "P", "P", "P", "P", "P", "P", "P", "P", "P", "P", "P", "P", "P", "P", "P", "P", "P", "P", "P", "P", "P", "P", "P", "P", "Ni", "Ni", "Ni", "Ni", "Ni", "Ni", "Ni", "Ni", "Na", "Na", "Na", "Na", "Na", "Na", "Na", "Na"], "frac_coords": [[0.643, 0.082, 0.410], [0.635, 0.352, 0.565], [0.841, 0.170, 0.320], [0.026, 0.822, 0.052], [0.862, 0.049, 0.108], [0.378, 0.438, 0.347], [0.029, 0.317, 0.297], [0.529, 0.683, 0.297], [0.750, 0.461, 0.000], [0.659, 0.830, 0.820], [0.857, 0.082, 0.590], [0.341, 0.830, 0.320], [0.143, 0.082, 0.090], [0.341, 0.567, 0.650], [0.659, 0.433, 0.350], [0.365, 0.352, 0.065], [0.750, 0.539, 0.500], [0.026, 0.178, 0.448], [0.474, 0.178, 0.552], [0.362, 0.049, 0.392], [0.974, 0.822, 0.552], [0.841, 0.567, 0.850], [0.971, 0.317, 0.797], [0.971, 0.683, 0.703], [0.135, 0.648, 0.565], [0.143, 0.918, 0.410], [0.293, 0.000, 0.750], [0.793, 0.000, 0.750], [0.878, 0.438, 0.153], [0.635, 0.648, 0.935], [0.643, 0.918, 0.090], [0.659, 0.170, 0.680], [0.862, 0.951, 0.392], [0.207, 0.000, 0.250], [0.841, 0.830, 0.180], [0.135, 0.352, 0.935], [0.341, 0.433, 0.850], [0.474, 0.822, 0.948], [0.138, 0.951, 0.892], [0.159, 0.170, 0.820], [0.841, 0.433, 0.650], [0.857, 0.918, 0.910], [0.122, 0.562, 0.847], [0.878, 0.562, 0.347], [0.029, 0.683, 0.203], [0.529, 0.317, 0.203], [0.122, 0.438, 0.653], [0.659, 0.567, 0.150], [0.865, 0.648, 0.065], [0.159, 0.567, 0.350], [0.362, 0.951, 0.108], [0.341, 0.170, 0.180], [0.974, 0.178, 0.948], [0.622, 0.562, 0.653], [0.250, 0.539, 0.000], [0.471, 0.683, 0.797], [0.357, 0.082, 0.910], [0.707, 0.000, 0.250], [0.526, 0.822, 0.448], [0.638, 0.049, 0.892], [0.471, 0.317, 0.703], [0.638, 0.951, 0.608], [0.622, 0.438, 0.847], [0.865, 0.352, 0.435], [0.159, 0.830, 0.680], [0.365, 0.648, 0.435], [0.250, 0.461, 0.500], [0.138, 0.049, 0.608], [0.526, 0.178, 0.052], [0.378, 0.562, 0.153], [0.357, 0.918, 0.590], [0.159, 0.433, 0.150], [0.237, 0.957, 0.647], [0.263, 0.043, 0.147], [0.737, 0.043, 0.647], [0.284, 0.475, 0.102], [0.737, 0.957, 0.853], [0.784, 0.475, 0.398], [0.216, 0.475, 0.898], [0.952, 0.253, 0.375], [0.716, 0.475, 0.602], [0.952, 0.747, 0.125], [0.452, 0.747, 0.375], [0.237, 0.043, 0.853], [0.263, 0.957, 0.353], [0.284, 0.525, 0.398], [0.048, 0.747, 0.625], [0.716, 0.525, 0.898], [0.763, 0.043, 0.353], [0.784, 0.525, 0.102], [0.548, 0.747, 0.875], [0.216, 0.525, 0.602], [0.763, 0.957, 0.147], [0.548, 0.253, 0.625], [0.452, 0.253, 0.125], [0.048, 0.253, 0.875], [0.027, 0.500, 0.250], [0.000, 0.000, 0.000], [0.500, 0.000, 0.000], [0.527, 0.500, 0.250], [0.500, 0.000, 0.500], [0.000, 0.000, 0.500], [0.973, 0.500, 0.750], [0.473, 0.500, 0.750], [0.488, 0.753, 0.125], [0.012, 0.753, 0.875], [0.988, 0.753, 0.375], [0.488, 0.247, 0.375], [0.512, 0.753, 0.625], [0.012, 0.247, 0.625], [0.512, 0.247, 0.875], [0.988, 0.247, 0.125]], "final_energy_ev_per_atom": -6.699, "sg": "No. 54"}